This record from Alexandria via LeMat-Bulk describes an optimized crystal structure of NdAl3Ga3. The functional is PBE-GGA.

## Properties
Energy ... -3.1210 eV/atom
Excess energy over the best structure of this formula in the dataset ... 0.293 eV/atom
Energy relative to the elements ... 0.4613 eV/atom

Cell lengths 8.4412, 8.4412, 8.4412 Å; angles 60.00, 60.00, 60.00 degrees
Last column: nearest neighbours and their distance in Å.
Fractional coordinates of all 14 atoms:
Ga 0.3487 0.6513 0.3487  1 Al 2.33, 4 Ga 2.55
Al 0.8462 0.8462 0.1538  1 Ga 2.33, 4 Al 2.60
Al 0.1538 0.8462 0.8462  1 Ga 2.33, 4 Al 2.60
Ga 0.6513 0.6513 0.3487  1 Al 2.33, 4 Ga 2.55
Ga 0.3487 0.6513 0.6513  1 Al 2.33, 4 Ga 2.55
Nd 0.7500 0.7500 0.7500  12 Al 4.37, 12 Ga 4.38
Ga 0.6513 0.3487 0.6513  1 Al 2.33, 4 Ga 2.55
Ga 0.6513 0.3487 0.3487  1 Al 2.33, 4 Ga 2.55
Al 0.8462 0.1538 0.8462  1 Ga 2.33, 4 Al 2.60
Nd 0.2500 0.2500 0.2500  12 Al 4.37, 12 Ga 4.38
Al 0.8462 0.1538 0.1538  1 Ga 2.33, 4 Al 2.60
Al 0.1538 0.1538 0.8462  1 Ga 2.33, 4 Al 2.60
Ga 0.3487 0.3487 0.6513  1 Al 2.33, 4 Ga 2.55
Al 0.1538 0.8462 0.1538  1 Ga 2.33, 4 Al 2.60